# AcAuSe (PBE-GGA, optimized geometry)
# Crystal system: trigonal
# E above lowest polymorph, meV/atom: 70
# Mass density, g/cm3: 9.194
# Uncorrected formation energy, kJ per mole of atoms: -112.7
data_AcAuSe
_cell_length_a 4.6222
_cell_length_b 4.6222
_cell_length_c 4.9093
_cell_angle_alpha 90.00
_cell_angle_beta 90.00
_cell_angle_gamma 120.00
_space_group_name_H-M_alt 'P 3 m 1'
_space_group_IT_number 156
loop_
_space_group_symop_operation_xyz
'x,y,z'
'-y,x-y,z'
'-x+y,-x,z'
'-y,-x,z'
'-x+y,y,z'
'x,x-y,z'
loop_
_atom_site_label
_atom_site_type_symbol
_atom_site_fract_x
_atom_site_fract_y
_atom_site_fract_z
Ac1 Ac 0.0000 0.0000 0.0000
Au1 Au 0.3333 0.6667 0.6596
Se1 Se 0.6667 0.3333 0.3420